A relaxed structure of Zn2PPb. Source: the Alexandria database, functional PBE.

Structure (POSCAR):
```
Zn2PPb
1.0
4.2303 0.0000 0.0000
0.0000 4.2303 0.0000
0.0000 0.0000 4.5884
Zn P Pb
2 1 1
direct
0.0000 0.5000 0.0000
0.5000 0.0000 0.0000
0.0000 0.0000 0.5000
0.5000 0.5000 0.5000
```

- SG = P4/mmm
- calculated total energy (eV/atom) = -2.575
- theoretical density (g/cm³) = 7.5
- energy relative to the elements (meV/atom) = 341
- Fermi-level density of states (states/eV/f.u.) = 1.454